LaNd9Tl2: optimized geometry, PBE-GGA.

abc: 5.0208 5.0208 15.5485
angles: 90.00 90.00 90.00
Space group P4/mmm (No. 123)
Inequivalent atoms, fractional coordinates:
La (0.0000, 0.0000, 0.0000)
Nd (0.0000, 0.5000, 0.1758)
Nd (0.0000, 0.5000, 0.5000)
Nd (0.5000, 0.5000, 0.0000)
Nd (0.5000, 0.5000, 0.3403)
Tl (0.0000, 0.0000, 0.3392)

Results
E: -4.502 eV/atom
M_tot: 0.00 μB/f.u.
formation energy from the elements: -0.12 eV per atom
mass density: 7.8 g cm⁻³
DOS(E_F): 15.2 states/eV/f.u.

La5Nd2Tl: optimized geometry, PBE-GGA.

abc: 7.3517 11.6965 7.3547
angles: 90.00 119.98 90.00
Space group Cm (No. 8)
Inequivalent atoms, fractional coordinates:
La (0.0000, 0.0000, 0.0000)
La (0.0154, 0.0000, 0.4818)
La (0.0466, 0.5000, 0.9998)
La (0.3524, 0.2504, 0.6571)
Nd (0.3593, 0.2299, 0.1718)
Tl (0.0269, 0.5000, 0.5066)

Results
E: -4.663 eV/atom
M_tot: 0.00 μB/f.u.
formation energy from the elements: -0.10 eV per atom
mass density: 7.2 g cm⁻³
energy relative to the lowest polymorph listed for this composition: 0 meV per atom
DOS(E_F): 11.5 states/eV/f.u.